(1)
Computed, not measured: a relaxed SiP2Cl crystal at the GGA-PBE level of DFT.

Lattice parameters (Å, degrees): 7.4100 3.3108 8.2390 90.00 110.68 90.00
Closest atoms and distances in Å follow each position.
Space group Cm (No. 8)
Unique sites:
Si  0.0000  0.0000  0.0000 (multiplicity 2)  1 P 2.29, 2 Cl 2.37
P  0.2878  0.5000  0.1463 (multiplicity 2)  2 P 2.22, 1 Si 2.29
P  0.4636  0.0000  0.3044 (multiplicity 2)  2 P 2.22
Cl  0.3548  0.0000  0.7883 (multiplicity 2)  2 Si 2.37

Calculated values
raw formation energy: 0.05 eV per formula unit
N(E_F): 0.18 states/eV/atom


(2)
Computed, not measured: a relaxed SiP2Cl crystal at the GGA-PBE level of DFT.

Lattice parameters (Å, degrees): 5.0461 7.4847 4.5039 90.00 123.89 90.00
Closest atoms and distances in Å follow each position.
Space group C2/m (No. 12)
Unique sites:
Si  0.0000  0.0000  0.0000 (multiplicity 2)  2 Cl 2.52, 4 P 2.64
P  0.2500  0.2500  0.5000 (multiplicity 4)  2 P 2.52, 2 Cl 2.64, 2 Si 2.64
Cl  0.0000  0.5000  0.0000 (multiplicity 2)  2 Si 2.52, 4 P 2.64

Calculated values
raw formation energy: 2.00 eV per formula unit
N(E_F): 0.36 states/eV/atom


(3)
Computed, not measured: a relaxed SiPCl2 crystal at the GGA-PBE level of DFT.

Lattice parameters (Å, degrees): 7.1869 3.6545 8.2860 90.00 93.34 90.00
Closest atoms and distances in Å follow each position.
Space group Cm (No. 8)
Unique sites:
Si  0.0000  0.0000  0.0000 (multiplicity 2)  1 Cl 2.11, 2 P 2.32
P  0.3675  0.0000  0.1229 (multiplicity 2)  1 Cl 2.11, 2 Si 2.32
Cl  0.0273  0.5000  0.3442 (multiplicity 2)  1 P 2.11
Cl  0.3353  0.5000  0.7802 (multiplicity 2)  1 Si 2.11

Calculated values
raw formation energy: -1.42 eV per formula unit
N(E_F): 0.27 states/eV/atom


(4)
Computed, not measured: a relaxed SiP2Cl crystal at the GGA-PBE level of DFT.

Lattice parameters (Å, degrees): 4.5500 3.5771 4.9020 90.00 106.95 90.00
Closest atoms and distances in Å follow each position.
Space group P2/m (No. 10)
Unique sites:
Si  0.0000  0.0000  0.0000 (multiplicity 1)  4 P 2.41, 2 Cl 2.45
P  0.3673  0.5000  0.1446 (multiplicity 2)  1 P 2.11
Cl  0.0000  0.0000  0.5000 (multiplicity 1)  2 Si 2.45

Calculated values
raw formation energy: -0.21 eV per formula unit
N(E_F): 0.32 states/eV/atom


(5)
Computed, not measured: a relaxed SiPCl2 crystal at the GGA-PBE level of DFT.

Lattice parameters (Å, degrees): 6.0347 8.1038 3.0511 90.00 90.00 90.00
Closest atoms and distances in Å follow each position.
Space group Cmmm (No. 65)
Unique sites:
Si  0.0000  0.0000  0.0000 (multiplicity 2)  8 Cl 2.95, 2 P 3.02, 2 Si 3.05
P  0.0000  0.5000  0.0000 (multiplicity 2)  8 Cl 2.95, 2 Si 3.02, 2 P 3.05
Cl  0.2500  0.2500  0.5000 (multiplicity 4)  4 Si 2.95, 4 P 2.95, 4 Cl 3.02-3.05

Calculated values
raw formation energy: 2.81 eV per formula unit
N(E_F): 0.49 states/eV/atom


(6)
Computed, not measured: a relaxed SiP2Cl crystal at the GGA-PBE level of DFT.

Lattice parameters (Å, degrees): 6.3038 6.3038 6.3038 90.00 90.00 90.00
Closest atoms and distances in Å follow each position.
Space group Fm-3m (No. 225)
Unique sites:
Si  0.0000  0.0000  0.0000 (multiplicity 4)  8 P 2.73
P  0.2500  0.2500  0.2500 (multiplicity 8)  4 Si 2.73, 4 Cl 2.73
Cl  0.0000  0.0000  0.5000 (multiplicity 4)  8 P 2.73

Calculated values
raw formation energy: 2.84 eV per formula unit
N(E_F): 0.44 states/eV/atom